(1)
The following is a GGA-PBE calculation of a geometry-optimized CsNaI structure, from Alexandria.

```
CsNaI
1.0
-2.780 6.927 4.521
2.780 -6.927 4.521
2.780 6.927 -4.521
Cs Na I
2 2 2
Direct
0.165 0.250 0.415 Cs
0.835 0.750 0.585 Cs
0.297 0.630 0.167 Na
0.464 0.130 0.833 Na
0.514 0.958 0.057 I
0.901 0.458 0.943 I
```

Summary:
V: 348.2 Å³ per cell
M_tot: 0.000 Bohr magnetons per cell
VASP energy: -12.7 eV for the cell shown
polymorph energy (0 for the lowest one): 0.046 eV per atom
ΔE_f (raw): -0.883 eV per atom

***

(2)
The following is a GGA-PBE calculation of a geometry-optimized CsNa2I3 structure, from Alexandria.

```
CsNa2I3
1.0
5.579 -7.769 0.000
5.579 7.769 0.000
0.000 0.000 7.086
Cs Na I
2 4 6
Direct
0.225 0.775 0.750 Cs
0.775 0.225 0.250 Cs
0.322 0.322 0.000 Na
0.322 0.322 0.500 Na
0.678 0.678 0.000 Na
0.678 0.678 0.500 Na
0.073 0.337 0.750 I
0.337 0.073 0.250 I
0.396 0.604 0.250 I
0.604 0.396 0.750 I
0.663 0.927 0.750 I
0.927 0.663 0.250 I
```

Summary:
V: 614.3 Å³ per cell
M_tot: 0.000 Bohr magnetons per cell
VASP energy: -31.5 eV for the cell shown
ΔE_f (raw): -1.265 eV per atom